1.
! Ca4ZrFe GGA-PBE optimized geometry; values from VASP
&SYSTEM
  ibrav = 0, nat = 6, ntyp = 3
/
ATOMIC_SPECIES
Ca 40.08 Ca.upf
Zr 91.22 Zr.upf
Fe 55.84 Fe.upf
ATOMIC_POSITIONS crystal
Ca 0.1252 0.1252 0.1252
Ca 0.1252 0.1252 0.6245
Ca 0.1252 0.6245 0.1252
Ca 0.6245 0.1252 0.1252
Zr 0.5000 0.5000 0.5000
Fe 0.7500 0.7500 0.7500
CELL_PARAMETERS angstrom
0.0000 4.5987 4.5987
4.5987 0.0000 4.5987
4.5987 4.5987 0.0000
! Electronic total energy in eV/atom: -3.152
! Fermi-level density of states in states/eV per cell: 17.10


2.
! Ca2ZrFe GGA-PBE optimized geometry; values from VASP
&SYSTEM
  ibrav = 0, nat = 4, ntyp = 3
/
ATOMIC_SPECIES
Ca 40.08 Ca.upf
Zr 91.22 Zr.upf
Fe 55.84 Fe.upf
ATOMIC_POSITIONS crystal
Ca 0.2500 0.2500 0.2500
Ca 0.7500 0.7500 0.7500
Zr 0.0000 0.0000 0.0000
Fe 0.5000 0.5000 0.5000
CELL_PARAMETERS angstrom
0.0000 3.6239 3.6239
3.6239 0.0000 3.6239
3.6239 3.6239 0.0000
! Relative energy among the computed polymorphs in eV/atom: 0.7974
! Fermi-level density of states in states/eV per cell: 6.11


3.
! Ca2ZrFe GGA-PBE optimized geometry; values from VASP
&SYSTEM
  ibrav = 0, nat = 4, ntyp = 3
/
ATOMIC_SPECIES
Ca 40.08 Ca.upf
Zr 91.22 Zr.upf
Fe 55.84 Fe.upf
ATOMIC_POSITIONS crystal
Ca 0.0000 0.0000 0.0000
Ca 0.6902 0.1902 0.5000
Zr 0.3799 0.3799 0.0000
Fe 0.2246 0.7246 0.5000
CELL_PARAMETERS angstrom
-1.7347 2.8252 5.2119
1.7347 -2.8252 5.2119
1.7347 2.8252 -5.2119
! Relative energy among the computed polymorphs in eV/atom: 0.1376
! Fermi-level density of states in states/eV per cell: 3.42